Record 1
VASP calculation (PBE) on a relaxed Cd2HgPd crystal.

Values from the calculation:
ΔH_f (0 K) = -0.085 eV per atom

Cell: 4.5401 4.5401 5.6818 Å, 66.45 66.45 60.00°
Last column: nearest neighbours and their distance in Å.
Fractional coordinates of all 4 atoms:
1 Hg 0.4902 0.4902 0.5293  1 Pd 2.80, 3 Cd 2.99
2 Cd 0.0625 0.0625 0.8126  3 Pd 2.74, 3 Hg 2.99
3 Cd 0.2718 0.2718 0.1847  3 Pd 2.83, 3 Hg 3.14, 1 Cd 3.17
4 Pd 0.6755 0.6755 0.9734  6 Cd 2.74-2.83, 1 Hg 2.80

***

Record 2
VASP calculation (PBE) on a relaxed Ce2Te3Rh5 crystal.

Cell: 4.3460 7.5731 12.6817 Å, 90.00 99.87 90.00°
Last column: nearest neighbours and their distance in Å.
Fractional coordinates of all 20 atoms:
1 Rh 0.3933 0.3673 0.7865  3 Te 2.59-2.65, 1 Ce 2.84
2 Rh 0.2923 0.8958 0.5845  4 Te 2.74-2.82, 4 Rh 2.84-2.95
3 Rh 0.9712 0.0217 0.9424  3 Te 2.64-2.88, 1 Rh 2.79
4 Rh 0.6067 0.8673 0.2135  3 Te 2.59-2.65, 1 Ce 2.84
5 Rh 0.8714 0.8578 0.7428  4 Te 2.59-2.73, 1 Rh 2.79
6 Rh 0.1286 0.3578 0.2572  4 Te 2.59-2.73, 1 Rh 2.79
7 Rh 0.7236 0.9770 0.4472  3 Te 2.66-2.67, 2 Rh 2.84
8 Rh 0.0288 0.5217 0.0576  3 Te 2.64-2.88, 1 Rh 2.79
9 Rh 0.7077 0.3958 0.4155  4 Te 2.74-2.82, 4 Rh 2.84-2.95
10 Rh 0.2764 0.4770 0.5528  3 Te 2.66-2.67, 2 Rh 2.84
11 Te 0.7811 0.6794 0.5622  7 Rh 2.63-2.82
12 Te 0.9233 0.5404 0.8465  4 Rh 2.64-2.73
13 Te 0.2189 0.1794 0.4378  7 Rh 2.63-2.82
14 Te 0.3955 0.0255 0.7910  6 Rh 2.59-2.88
15 Te 0.0767 0.0404 0.1535  4 Rh 2.64-2.73
16 Te 0.6045 0.5255 0.2090  6 Rh 2.59-2.88
17 Ce 0.1792 0.7322 0.3584  7 Rh 3.01-3.10, 2 Te 3.26
18 Ce 0.4970 0.7677 0.9939  5 Rh 2.84-2.97
19 Ce 0.5030 0.2677 0.0061  5 Rh 2.84-2.97
20 Ce 0.8208 0.2322 0.6416  7 Rh 3.01-3.10, 2 Te 3.26

***

Record 3
VASP calculation (PBE) on a relaxed PmPr3Pt2 crystal.

Values from the calculation:
energy above the lowest structure with this stoichiometry = 1.02 kcal/mol of atoms
ΔH_f (0 K) = -0.717 eV per atom

Cell: 4.5503 8.6810 10.7669 Å, 67.47 77.80 74.81°
Last column: nearest neighbours and their distance in Å.
Fractional coordinates of all 12 atoms:
1 Pr 0.6746 0.6948 0.9561  3 Pt 2.95-2.96
2 Pr 0.1998 0.1829 0.4175  3 Pt 2.95
3 Pr 0.3254 0.3052 0.0439  3 Pt 2.95-2.96
4 Pr 0.8002 0.8171 0.5825  3 Pt 2.95
5 Pr 0.0570 0.0876 0.7985  3 Pt 2.95-2.99
6 Pr 0.9430 0.9124 0.2015  3 Pt 2.95-2.99
7 Pm 0.5692 0.5350 0.3266  3 Pt 2.89-2.90
8 Pm 0.4308 0.4650 0.6734  3 Pt 2.89-2.90
9 Pt 0.8688 0.4098 0.8526  2 Pm 2.89, 4 Pr 2.95-2.96
10 Pt 0.1312 0.5902 0.1474  2 Pm 2.89, 4 Pr 2.95-2.96
11 Pt 0.6190 0.1603 0.6018  1 Pm 2.90, 5 Pr 2.95-2.99
12 Pt 0.3810 0.8397 0.3982  1 Pm 2.90, 5 Pr 2.95-2.99

***

Record 4
VASP calculation (PBE) on a relaxed MnGePb2Se5 crystal.

Cell: 3.9624 9.6778 12.7316 Å, 90.00 90.00 101.81°
Last column: nearest neighbours and their distance in Å.
Fractional coordinates of all 18 atoms:
1 Se 0.6802 0.3603 0.8872  1 Ge 2.39
2 Se 0.9686 0.9371 0.5354  2 Ge 2.48
3 Se 0.5066 0.0132 0.2642  1 Ge 2.36
4 Se 0.6991 0.3981 0.1712  2 Mn 2.66, 1 Pb 2.93
5 Se 0.0314 0.0629 0.0354  2 Ge 2.48
6 Se 0.3198 0.6397 0.3872  1 Ge 2.39
7 Se 0.4934 0.9868 0.7642  1 Ge 2.36
8 Se 0.3380 0.6759 0.0086  1 Mn 2.57
9 Se 0.3009 0.6019 0.6712  2 Mn 2.66, 1 Pb 2.93
10 Se 0.6620 0.3241 0.5086  1 Mn 2.57
11 Ge 0.5563 0.1126 0.9240  4 Se 2.36-2.48
12 Ge 0.4437 0.8874 0.4240  4 Se 2.36-2.48
13 Pb 0.1230 0.2460 0.3252  6 Se 3.06-3.15
14 Pb 0.8770 0.7540 0.8252  6 Se 3.06-3.15
15 Pb 0.1463 0.2926 0.6763  3 Se 2.93
16 Pb 0.8537 0.7074 0.1763  3 Se 2.93
17 Mn 0.2031 0.4062 0.0318  5 Se 2.57-2.74
18 Mn 0.7969 0.5938 0.5318  5 Se 2.57-2.74

***

Record 5
VASP calculation (PBE) on a relaxed Ac12Ni5Bi3 crystal.

Values from the calculation:
ΔH_f (0 K) = -0.205 eV per atom

Cell: 15.8861 15.8861 15.8861 Å, 109.47 109.47 109.47°
Last column: nearest neighbours and their distance in Å.
Fractional coordinates of all 80 atoms:
1 Ac 0.0253 0.4074 0.8225  2 Ni 2.76-2.94
2 Ac 0.3225 0.7972 0.4151  2 Ni 2.76-2.94
3 Ac 0.9747 0.3821 0.2972  2 Ni 2.76-2.94
4 Ac 0.6775 0.2028 0.5849  2 Ni 2.76-2.94
5 Ac 0.8225 0.9151 0.2972  2 Ni 2.76-2.94
6 Ac 0.8821 0.2972 0.4747  2 Ni 2.76-2.94
7 Ac 0.5926 0.9747 0.6775  2 Ni 2.76-2.94
8 Ac 0.1179 0.4151 0.0926  2 Ni 2.76-2.94
9 Ac 0.5253 0.2028 0.1179  2 Ni 2.76-2.94
10 Ac 0.5253 0.3225 0.9074  2 Ni 2.76-2.94
11 Ac 0.5849 0.8821 0.4074  2 Ni 2.76-2.94
12 Ac 0.0926 0.9151 0.1179  2 Ni 2.76-2.94
13 Ac 0.2972 0.8821 0.9747  2 Ni 2.76-2.94
14 Ac 0.8225 0.9074 0.0253  2 Ni 2.76-2.94
15 Ac 0.0926 0.1775 0.4747  2 Ni 2.76-2.94
16 Ac 0.2028 0.5253 0.6179  2 Ni 2.76-2.94
17 Ac 0.5849 0.7028 0.6775  2 Ni 2.76-2.94
18 Ac 0.4074 0.0253 0.3225  2 Ni 2.76-2.94
19 Ac 0.9747 0.5926 0.1775  2 Ni 2.76-2.94
20 Ac 0.6179 0.5926 0.9151  2 Ni 2.76-2.94
21 Ac 0.7972 0.4747 0.3821  2 Ni 2.76-2.94
22 Ac 0.4747 0.7972 0.8821  2 Ni 2.76-2.94
23 Ac 0.9074 0.8225 0.5253  2 Ni 2.76-2.94
24 Ac 0.2028 0.6775 0.0849  2 Ni 2.76-2.94
25 Ac 0.4074 0.3821 0.5849  2 Ni 2.76-2.94
26 Ac 0.9151 0.8225 0.7972  2 Ni 2.76-2.94
27 Ac 0.1775 0.0849 0.7028  2 Ni 2.76-2.94
28 Ac 0.3821 0.9747 0.7972  2 Ni 2.76-2.94
29 Ac 0.9074 0.0849 0.8821  2 Ni 2.76-2.94
30 Ac 0.0849 0.9074 0.3821  2 Ni 2.76-2.94
31 Ac 0.7028 0.1179 0.0253  2 Ni 2.76-2.94
32 Ac 0.6179 0.0253 0.2028  2 Ni 2.76-2.94
33 Ac 0.9151 0.0926 0.6179  2 Ni 2.76-2.94
34 Ac 0.0253 0.6179 0.7028  2 Ni 2.76-2.94
35 Ac 0.7972 0.3225 0.9151  2 Ni 2.76-2.94
36 Ac 0.4151 0.2972 0.3225  2 Ni 2.76-2.94
37 Ac 0.8821 0.5849 0.9074  2 Ni 2.76-2.94
38 Ac 0.1775 0.0926 0.9747  2 Ni 2.76-2.94
39 Ac 0.4151 0.1179 0.5926  2 Ni 2.76-2.94
40 Ac 0.4747 0.6775 0.0926  2 Ni 2.76-2.94
41 Ac 0.7028 0.5849 0.1775  2 Ni 2.76-2.94
42 Ac 0.3225 0.5253 0.4074  2 Ni 2.76-2.94
43 Ac 0.5926 0.6179 0.4151  2 Ni 2.76-2.94
44 Ac 0.2972 0.4151 0.8225  2 Ni 2.76-2.94
45 Ac 0.1179 0.7028 0.5253  2 Ni 2.76-2.94
46 Ac 0.6775 0.4747 0.5926  2 Ni 2.76-2.94
47 Ac 0.3821 0.4074 0.0849  2 Ni 2.76-2.94
48 Ac 0.0849 0.1775 0.2028  2 Ni 2.76-2.94
49 Ni 0.0000 0.5000 0.5000  6 Ac 2.94
50 Ni 0.8750 0.2500 0.6250  4 Ac 2.76
51 Ni 0.2500 0.8750 0.1250  4 Ac 2.76
52 Ni 0.0000 0.5000 0.0000  6 Ac 2.94
53 Ni 0.5000 0.0000 0.0000  6 Ac 2.94
54 Ni 0.6250 0.7500 0.8750  4 Ac 2.76
55 Ni 0.0000 0.0000 0.5000  6 Ac 2.94
56 Ni 0.7500 0.6250 0.3750  4 Ac 2.76
57 Ni 0.5000 0.5000 0.5000  6 Ac 2.94
58 Ni 0.1250 0.3750 0.2500  4 Ac 2.76
59 Ni 0.0000 0.0000 0.0000  6 Ac 2.94
60 Ni 0.3750 0.1250 0.7500  4 Ac 2.76
61 Ni 0.5000 0.0000 0.5000  6 Ac 2.94
62 Ni 0.3750 0.2500 0.1250  4 Ac 2.76
63 Ni 0.5000 0.5000 0.0000  6 Ac 2.94
64 Ni 0.8750 0.6250 0.7500  4 Ac 2.76
65 Ni 0.7500 0.1250 0.8750  4 Ac 2.76
66 Ni 0.2500 0.3750 0.6250  4 Ac 2.76
67 Ni 0.1250 0.7500 0.3750  4 Ac 2.76
68 Ni 0.6250 0.8750 0.2500  4 Ac 2.76
69 Bi 0.2500 0.6250 0.8750  8 Ac 3.55-3.64
70 Bi 0.3750 0.7500 0.6250  8 Ac 3.55-3.64
71 Bi 0.2500 0.1250 0.3750  8 Ac 3.55-3.64
72 Bi 0.7500 0.8750 0.6250  8 Ac 3.55-3.64
73 Bi 0.8750 0.1250 0.2500  8 Ac 3.55-3.64
74 Bi 0.6250 0.2500 0.3750  8 Ac 3.55-3.64
75 Bi 0.1250 0.8750 0.7500  8 Ac 3.55-3.64
76 Bi 0.8750 0.7500 0.1250  8 Ac 3.55-3.64
77 Bi 0.6250 0.3750 0.7500  8 Ac 3.55-3.64
78 Bi 0.1250 0.2500 0.8750  8 Ac 3.55-3.64
79 Bi 0.3750 0.6250 0.2500  8 Ac 3.55-3.64
80 Bi 0.7500 0.3750 0.1250  8 Ac 3.55-3.64

***

Record 6
VASP calculation (PBE) on a relaxed Al2AgGeS6 crystal.

Cell: 6.5305 8.6376 8.6376 Å, 96.57 73.74 73.74°
Last column: nearest neighbours and their distance in Å.
Fractional coordinates of all 20 atoms:
1 S 0.4834 0.5458 0.6989  3 Al 2.29-2.40
2 S 0.5166 0.4542 0.3011  3 Al 2.29-2.40
3 S 0.0862 0.6210 0.1137  1 Ge 2.26, 1 Al 2.28
4 S 0.6589 0.7915 0.9452  1 Ge 2.27, 1 Ag 2.47
5 S 0.1589 0.9452 0.7915  1 Ge 2.27, 1 Ag 2.47
6 S 0.8411 0.0548 0.2085  1 Ge 2.27, 1 Ag 2.47
7 S 0.4138 0.8863 0.3790  1 Ge 2.26, 1 Al 2.28
8 S 0.9138 0.3790 0.8863  1 Ge 2.26, 1 Al 2.28
9 S 0.5862 0.1137 0.6210  1 Ge 2.26, 1 Al 2.28
10 S 0.0166 0.3011 0.4542  3 Al 2.29-2.40
11 S 0.3411 0.2085 0.0548  1 Ge 2.27, 1 Ag 2.47
12 S 0.9834 0.6989 0.5458  3 Al 2.29-2.40
13 Ge 0.7500 0.8211 0.1789  4 S 2.26-2.27
14 Ge 0.2500 0.1789 0.8211  4 S 2.26-2.27
15 Ag 0.2500 0.8987 0.1013  2 S 2.47
16 Ag 0.7500 0.1013 0.8987  2 S 2.47
17 Al 0.1536 0.4766 0.3090  4 S 2.28-2.40
18 Al 0.6536 0.3090 0.4766  4 S 2.28-2.40
19 Al 0.8464 0.5234 0.6910  4 S 2.28-2.40
20 Al 0.3464 0.6910 0.5234  4 S 2.28-2.40

***

Calculated values (eV per atom) of raw total energy for the records, taken in order: -1.916, -6.477, -5.912, -4.698, -4.697, -4.490.